a.
A relaxed structure of AsAuCl2, computed with PBEsol.

The structure in POSCAR format:
```
AsAuCl2
1.0
-1.225 -2.361 1.664
2.187 -3.534 -3.404
3.428 2.798 3.537
As Au Cl
1 1 2
Cartesian
0.481 -2.947 -0.870
0.000 0.000 0.000
2.430 -3.022 0.460
1.960 -0.075 1.337
```

density	7133	kg/m3
space group	Immm (71)



b.
A relaxed structure of AsAuCl2, computed with PBEsol.

The structure in POSCAR format:
```
AsAuCl2
1.0
-1.017 -2.571 -2.220
4.066 0.536 0.348
-1.386 -4.602 5.963
As Au Cl
1 1 2
Cartesian
2.306 -2.751 2.129
0.802 -2.906 0.166
0.462 -0.464 0.326
0.957 -3.565 3.689
```

density	5775	kg/m3
space group	Cm (8)



Preferred: b; penalty for the next structure: 407 meV/atom.